# PBE ScBeCr2, optimized geometry
# **Raw total energy**: -6.96 eV/atom
# **Volume**: 105.5 Å³ per cell
# **Formation energy from the elements**: 0.36 eV/atom
data_ScBeCr2
_chemical_formula_sum 'Sc2 Be2 Cr4'
_symmetry_space_group_name_H-M 'C m m 2'
_symmetry_Int_Tables_number 35
_cell_length_a 3.076
_cell_length_b 4.213
_cell_length_c 8.138
_cell_angle_alpha 90.00
_cell_angle_beta 90.00
_cell_angle_gamma 90.00
loop_
_symmetry_equiv_pos_as_xyz
'x,y,z'
'-x,-y,z'
'-x,y,z'
'x,-y,z'
'x+1/2,y+1/2,z'
'-x+1/2,-y+1/2,z'
'-x+1/2,y+1/2,z'
'x+1/2,-y+1/2,z'
loop_
_atom_site_label
_atom_site_type_symbol
_atom_site_fract_x
_atom_site_fract_y
_atom_site_fract_z
Sc1 Sc 0.000 0.000 0.000
Be1 Be 0.000 0.500 0.274
Cr1 Cr 0.000 0.000 0.491
Cr2 Cr 0.000 0.500 0.713